(1)
VASP calculation (PBE-GGA) on a geometry-optimized BaMnCoP2 structure.

a b c (Å): 6.7698 6.7698 6.7698
angles (deg): 147.05 147.05 47.29
Closest atoms and distances in Å follow each position.
Element x y z (fractional)
Ba  0.0000  0.0000  0.0000  8 P 3.36, 4 Mn 3.65, 4 Co 3.65
Mn  0.7500  0.2500  0.5000  4 P 2.22
Co  0.2500  0.7500  0.5000  4 P 2.22
P  0.3399  0.3399  0.0000  2 Mn 2.22, 2 Co 2.22
P  0.6601  0.6601  0.0000  2 Mn 2.22, 2 Co 2.22

energy relative to the elements	-825.1	meV per atom
DFT total energy	-6.6286	eV per atom

---

(2)
VASP calculation (PBE-GGA) on a geometry-optimized BaMn2CoRe structure.

a b c (Å): 4.9584 4.9584 5.0419
angles (deg): 90.00 90.00 90.00
Closest atoms and distances in Å follow each position.
Element x y z (fractional)
Ba  0.0000  0.0000  0.0000  4 Mn 2.48, 2 Re 2.52
Mn  0.0000  0.5000  0.0000  2 Ba 2.48
Mn  0.5000  0.0000  0.0000  2 Ba 2.48
Co  0.5000  0.5000  0.5000  4 Re 3.51, 8 Mn 3.54
Re  0.0000  0.0000  0.5000  2 Ba 2.52

energy relative to the elements	3034.0	meV per atom
DFT total energy	-4.9292	eV per atom

---

(3)
VASP calculation (PBE-GGA) on a geometry-optimized BaMn2CoRu structure.

a b c (Å): 4.9916 4.9916 4.6431
angles (deg): 90.00 90.00 90.00
Closest atoms and distances in Å follow each position.
Element x y z (fractional)
Ba  0.0000  0.0000  0.0000  2 Co 2.32, 4 Mn 2.50
Mn  0.0000  0.5000  0.0000  2 Ba 2.50
Mn  0.5000  0.0000  0.0000  2 Ba 2.50
Co  0.0000  0.0000  0.5000  2 Ba 2.32
Ru  0.5000  0.5000  0.5000  8 Mn 3.41, 4 Co 3.53

energy relative to the elements	2523.2	meV per atom
DFT total energy	-4.8055	eV per atom

---

(4)
VASP calculation (PBE-GGA) on a geometry-optimized BaMn2CoSe8 structure.

a b c (Å): 6.0788 6.0788 8.8835
angles (deg): 90.00 90.00 120.00
Closest atoms and distances in Å follow each position.
Element x y z (fractional)
Ba  0.0000  0.0000  0.0000  12 Se 3.51-3.61
Mn  0.3333  0.6667  0.7437  4 Se 2.22-2.25
Mn  0.6667  0.3333  0.2563  4 Se 2.22-2.25
Co  0.0000  0.0000  0.5000  6 Se 2.40
Se  0.0120  0.6861  0.3418  1 Mn 2.25, 1 Co 2.40
Se  0.3139  0.3259  0.3418  1 Mn 2.25, 1 Co 2.40
Se  0.3259  0.0120  0.6582  1 Mn 2.25, 1 Co 2.40
Se  0.3333  0.6667  0.9933  1 Mn 2.22
Se  0.6667  0.3333  0.0067  1 Mn 2.22
Se  0.6741  0.9880  0.3418  1 Mn 2.25, 1 Co 2.40
Se  0.6861  0.6741  0.6582  1 Mn 2.25, 1 Co 2.40
Se  0.9880  0.3139  0.6582  1 Mn 2.25, 1 Co 2.40

ΔE_f (raw)	-440	meV per atom
DFT total energy	-5.0439	eV per atom